# meta-GGA SCAN Li2Pb, single point on PBEsol structure
data_Li2Pb
_chemical_formula_sum 'Li2 Pb1'
_cell_length_a 4.6772
_cell_length_b 4.6772
_cell_length_c 3.1356
_cell_angle_alpha 90.00
_cell_angle_beta 90.00
_cell_angle_gamma 120.00
_space_group_name_H-M_alt 'P -3 m 1'
_space_group_IT_number 164
_space_group_name_Hall '-P 3 2"'
loop_
_atom_site_label
_atom_site_type_symbol
_atom_site_fract_x
_atom_site_fract_y
_atom_site_fract_z
Li1 Li 0.3333 0.6667 0.1210
Pb1 Pb 0.0000 0.0000 0.5000
# * density of states at the Fermi level: 1.1 states/eV/f.u.
# * ΔH_f (0 K): -422 meV per atom
# * crystal system: trigonal